1.
Computed, not measured: a relaxed structure of Mo4IrCl at the PBE level of DFT.

ΔE_f (raw) = 0.84 eV/atom
DOS at the Fermi energy = 0.69 states/eV/atom

Geometry as extended XYZ:
```
6
Lattice="0.000 3.695 3.695 3.695 0.000 3.695 3.695 3.695 0.000" Properties=species:S:1:pos:R:3 pbc="T T T"
Mo 2.773 4.617 4.617
Mo 4.617 4.617 2.773
Mo 4.617 2.773 4.617
Mo 2.773 2.773 2.773
Ir 0.000 0.000 0.000
Cl 5.542 5.542 5.542
```

=====

2.
Computed, not measured: a relaxed structure of TlSn2S at the PBE level of DFT.

ΔE_f (raw) = 0.12 eV/atom
DOS at the Fermi energy = 0.41 states/eV/atom
Polymorph energy (0 for the lowest one) = 145.2 meV per atom

Geometry as extended XYZ:
```
8
Lattice="-2.665 -5.131 -2.540 3.388 -3.672 3.863 -4.765 -4.105 5.440" Properties=species:S:1:pos:R:3 pbc="T T T"
S 0.362 -4.402 0.662
S -0.507 -6.089 4.982
Tl 0.000 0.000 0.000
Tl -3.534 -6.819 1.781
Sn -2.348 -4.528 0.337
Sn 0.508 -4.126 3.376
Sn -3.194 -6.497 4.700
Sn -3.049 -10.664 5.115
```

=====

3.
Computed, not measured: a relaxed structure of HoEr5Pt6 at the PBE level of DFT.

Energy relative to the elements = -15.1 eV/f.u.
DOS at the Fermi energy = 0.56 states/eV/atom

Geometry as extended XYZ:
```
12
Lattice="4.847 -0.310 0.792 -0.019 6.369 2.612 1.132 0.271 8.420" Properties=species:S:1:pos:R:3 pbc="T T T"
Ho 0.000 0.000 0.000
Pt 4.404 3.539 4.997
Pt 4.414 0.362 3.694
Pt 3.541 4.884 10.771
Pt 2.419 1.445 1.053
Pt 1.546 5.967 8.129
Pt 1.556 2.790 6.827
Er 3.982 1.035 6.576
Er 1.987 2.110 3.941
Er -0.009 3.185 1.306
Er 3.973 4.220 7.883
Er 1.978 5.294 5.247
```

=====

4.
Computed, not measured: a relaxed structure of HfCdO3 at the PBE level of DFT.

ΔE_f (raw) = -2.26 eV/atom
DOS at the Fermi energy = 0.12 states/eV/atom

Geometry as extended XYZ:
```
5
Lattice="4.065 0.000 0.000 0.000 4.065 0.000 0.000 0.000 4.065" Properties=species:S:1:pos:R:3 pbc="T T T"
Hf 0.000 0.000 0.000
O 0.000 2.032 0.000
O 0.000 0.000 2.032
O 2.032 0.000 0.000
Cd 2.032 2.032 2.032
```

=====

5.
Computed, not measured: a relaxed structure of LaTe2P at the PBE level of DFT.

ΔE_f (raw) = -0.75 eV/atom
DOS at the Fermi energy = 0.21 states/eV/atom

Geometry as extended XYZ:
```
4
Lattice="-0.351 -3.647 1.326 4.136 -0.048 0.963 0.198 2.478 6.867" Properties=species:S:1:pos:R:3 pbc="T T T"
La 2.163 1.096 3.588
Te 0.147 0.094 0.298
Te 3.721 -0.102 6.428
P 0.118 -1.090 2.757
```

=====

6.
Computed, not measured: a relaxed structure of Ba2RhAuN at the PBE level of DFT.

ΔE_f (raw) = -0.60 eV/atom
DOS at the Fermi energy = 0.56 states/eV/atom
Polymorph energy (0 for the lowest one) = 0.0 meV per atom

Geometry as extended XYZ:
```
5
Lattice="-4.758 -0.154 3.307 3.222 -1.553 4.562 0.507 3.705 0.903" Properties=species:S:1:pos:R:3 pbc="T T T"
Rh 0.254 1.852 0.451
Au -0.514 0.999 4.386
Ba 1.611 -0.776 2.281
Ba -2.379 -0.077 1.654
N 0.000 0.000 0.000
```

=====

7.
Computed, not measured: a relaxed structure of K2RbRuO4 at the PBE level of DFT.

ΔE_f (raw) = -1.25 eV/atom

Geometry as extended XYZ:
```
8
Lattice="-3.368 -4.631 2.562 2.931 -0.827 -5.484 5.477 1.746 2.511" Properties=species:S:1:pos:R:3 pbc="T T T"
K 1.884 -2.499 -2.204
K 0.000 0.000 0.000
Rb 3.157 -1.213 1.794
Ru 4.204 0.460 -1.487
O 1.181 -2.513 0.332
O 0.617 -3.664 2.841
O 3.037 -0.200 -2.762
O 5.247 -1.048 -1.233
```

=====

8.
Computed, not measured: a relaxed structure of Cs3NdSb2O9 at the PBE level of DFT.

ΔE_f (raw) = -1.54 eV/atom
DOS at the Fermi energy = 0.68 states/eV/atom

Geometry as extended XYZ:
```
15
Lattice="6.143 0.000 0.000 -3.071 5.320 0.000 0.000 0.000 7.569" Properties=species:S:1:pos:R:3 pbc="T T T"
Cs 0.000 3.547 5.021
Cs 0.000 0.000 0.000
Cs 3.071 1.773 2.548
Nd 0.000 0.000 3.785
Sb 0.000 3.547 1.191
Sb 3.071 1.773 6.378
O 4.484 0.958 5.234
O 3.071 3.404 5.234
O 1.659 0.958 5.234
O 1.412 4.362 2.336
O 0.000 1.916 2.336
O -1.412 4.362 2.336
O 3.071 0.000 0.000
O -1.536 2.660 0.000
O 1.536 2.660 0.000
```

=====

9.
Computed, not measured: a relaxed structure of Y2ZnGePb at the PBE level of DFT.

Energy relative to the elements = -2.8 eV/f.u.
DOS at the Fermi energy = 0.26 states/eV/atom

Geometry as extended XYZ:
```
10
Lattice="4.483 0.000 0.000 0.000 7.477 1.475 0.000 -1.427 7.233" Properties=species:S:1:pos:R:3 pbc="T T T"
Y 3.362 5.138 4.839
Y 3.362 4.450 8.323
Y 1.121 0.912 3.869
Y 1.121 1.601 0.385
Zn 1.121 3.384 6.302
Zn 3.362 2.667 2.406
Ge 1.121 5.817 6.784
Ge 3.362 0.234 1.924
Pb 1.121 4.208 2.709
Pb 3.362 1.842 5.999
```

=====

10.
Computed, not measured: a relaxed structure of Dy3Mg2Pd2 at the PBE level of DFT.

Energy relative to the elements = -3.6 eV/f.u.
DOS at the Fermi energy = 0.78 states/eV/atom

Geometry as extended XYZ:
```
7
Lattice="-1.034 3.210 2.593 -2.305 1.291 -2.517 -8.620 -4.477 5.595" Properties=species:S:1:pos:R:3 pbc="T T T"
Dy -3.862 1.087 4.093
Dy 0.000 0.000 0.000
Dy -5.792 -2.354 4.095
Mg -8.942 -1.215 4.918
Mg -3.016 1.239 0.752
Pd -6.893 0.323 3.831
Pd -5.065 -0.298 1.839
```

=====

11.
Computed, not measured: a relaxed structure of Sm7Y5 at the PBE level of DFT.

Energy relative to the elements = 0.1 eV/f.u.
DOS at the Fermi energy = 1.38 states/eV/atom
Polymorph energy (0 for the lowest one) = 0.0 meV per atom

Geometry as extended XYZ:
```
12
Lattice="3.578 0.000 0.564 1.434 9.114 2.534 -0.095 0.206 12.229" Properties=species:S:1:pos:R:3 pbc="T T T"
Sm 3.609 9.011 11.991
Sm 1.307 0.309 3.336
Sm 1.070 6.380 4.838
Sm 3.846 2.940 10.489
Sm 1.669 3.032 1.042
Sm 2.458 4.660 7.664
Sm 3.247 6.288 14.285
Y 4.128 7.700 8.703
Y 0.789 1.620 6.624
Y 2.978 3.338 4.369
Y 1.939 5.982 10.958
Y 0.000 0.000 0.000
```

=====

12.
Computed, not measured: a relaxed structure of Nb2GaPt at the PBE level of DFT.

Energy relative to the elements = -1.9 eV/f.u.
DOS at the Fermi energy = 0.73 states/eV/atom

Geometry as extended XYZ:
```
8
Lattice="-0.718 -4.526 0.060 2.058 -0.397 -5.276 3.925 -0.570 3.874" Properties=species:S:1:pos:R:3 pbc="T T T"
Nb 1.237 -3.667 0.732
Nb 4.028 -1.826 -2.073
Nb 2.003 -1.530 -3.946
Nb 3.262 -3.963 2.604
Ga 2.069 -3.837 -2.098
Ga 3.196 -1.657 0.756
Pt 1.287 -1.380 -1.161
Pt 3.978 -4.114 -0.180
```

=====

13.
Computed, not measured: a relaxed structure of BaRe2Au at the PBE level of DFT.

Energy relative to the elements = 5.1 eV/f.u.
DOS at the Fermi energy = 1.39 states/eV/atom
Polymorph energy (0 for the lowest one) = 917.8 meV per atom

Geometry as extended XYZ:
```
4
Lattice="-9.786 2.942 3.398 -10.566 0.462 2.028 -9.627 0.370 4.811" Properties=species:S:1:pos:R:3 pbc="T T T"
Re -29.605 3.726 10.110
Re -15.362 1.934 5.246
Au -7.495 0.943 2.559
Ba -22.484 2.830 7.678
```

=====

14.
Computed, not measured: a relaxed structure of Ac2Tl4Hg at the PBE level of DFT.

Energy relative to the elements = -1.2 eV/f.u.
DOS at the Fermi energy = 0.59 states/eV/atom
Polymorph energy (0 for the lowest one) = 0.0 meV per atom

Geometry as extended XYZ:
```
7
Lattice="4.726 0.000 0.000 0.000 4.726 0.000 -2.363 -2.363 10.385" Properties=species:S:1:pos:R:3 pbc="T T T"
Ac 2.363 2.363 2.127
Ac 0.000 0.000 8.257
Tl 0.000 0.000 3.007
Tl 2.363 2.363 7.378
Tl 2.363 0.000 5.192
Tl 0.000 2.363 5.192
Hg 0.000 0.000 0.000
```

=====

15.
Computed, not measured: a relaxed structure of HoZn5Au3 at the PBE level of DFT.

Energy relative to the elements = -2.9 eV/f.u.
DOS at the Fermi energy = 0.38 states/eV/atom

Geometry as extended XYZ:
```
18
Lattice="-0.096 -3.797 -1.686 0.441 -0.864 7.045 -11.882 -0.028 0.741" Properties=species:S:1:pos:R:3 pbc="T T T"
Ho -8.719 -3.610 3.506
Ho -2.818 -1.080 2.594
Zn -5.313 -3.601 3.292
Zn -11.293 -1.101 3.124
Zn -5.941 -0.014 0.371
Zn 0.000 0.000 0.000
Zn -1.302 -2.374 5.421
Zn -10.235 -2.316 0.679
Zn -7.572 -2.310 0.513
Zn -0.243 -3.589 2.976
Zn -6.223 -1.089 2.808
Zn -3.965 -2.380 5.588
Au -10.535 -2.149 5.441
Au -2.736 -3.887 3.790
Au -6.683 -2.140 5.201
Au -4.854 -2.550 0.899
Au -8.800 -0.803 2.311
Au -1.001 -2.541 0.659
```

=====

16.
Computed, not measured: a relaxed structure of Mg4IrPt3 at the PBE level of DFT.

Energy relative to the elements = -5.8 eV/f.u.
DOS at the Fermi energy = 0.39 states/eV/atom

Geometry as extended XYZ:
```
8
Lattice="-2.223 1.649 -1.603 1.192 -1.081 -2.764 -7.534 -9.644 0.522" Properties=species:S:1:pos:R:3 pbc="T T T"
Mg -6.630 -8.486 0.460
Mg -0.905 -1.158 0.063
Mg -2.819 -3.608 0.195
Mg -4.716 -6.036 0.327
Ir -0.515 0.284 -2.184
Pt -2.392 -2.117 -2.054
Pt -4.283 -4.538 -1.923
Pt -6.174 -6.959 -1.791
```

=====

17.
Computed, not measured: a relaxed structure of NaP3Pd at the PBE level of DFT.

Energy relative to the elements = 2.6 eV/f.u.
DOS at the Fermi energy = 0.88 states/eV/atom
Polymorph energy (0 for the lowest one) = 0.0 meV per atom

Geometry as extended XYZ:
```
5
Lattice="-4.246 0.884 -2.013 -0.237 -4.537 -1.492 -2.186 -1.225 4.073" Properties=species:S:1:pos:R:3 pbc="T T T"
P -0.119 -2.268 -0.746
P -1.093 -0.612 2.036
P -2.123 0.442 -1.007
Pd 0.000 0.000 0.000
Na -3.335 -2.439 0.284
```